Material: Sm8Y3Er2
Method: DFT, PBE
State: optimized geometry

- SG = C2/m (12)
- calculated formation energy (meV per atom) = 213

Geometry as POSCAR:
```
Sm8Y3Er2
1.0
-4.8974 0.3767 2.8989
-3.6876 -3.5571 -5.7677
3.7186 -7.1749 7.2070
Sm Y Er
8 3 2
direct
0.0006 0.6718 0.3437 Sm
0.9994 0.3282 0.6563 Sm
0.9997 0.1333 0.2665 Sm
0.0003 0.8667 0.7335 Sm
0.4998 0.5991 0.7851 Sm
0.4998 0.1860 0.7851 Sm
0.5002 0.8140 0.2149 Sm
0.5002 0.4009 0.2149 Sm
0.5000 0.0000 0.0000 Y
0.0000 0.2854 0.0000 Y
0.0000 0.7146 0.0000 Y
0.4992 0.2406 0.4812 Er
0.5008 0.7594 0.5188 Er
```